No. 1
The following is a DFT calculation (GGA-PBE) of a relaxed MnPd2AuN crystal.

## Properties
- Formation energy from raw total energies: -29 meV per atom
- Space-group type: No. 123
- DOS at the Fermi energy: 2.78 states/eV/cell
- Raw total energy: -6.26 eV per atom

Cell lengths 4.269, 4.269, 3.871 Å; angles 90.00, 90.00, 90.00 degrees
Positions (direct):
Mn 0.000 0.000 0.500
Au 0.500 0.500 0.500
Pd 0.000 0.500 0.000
Pd 0.500 0.000 0.000
N 0.000 0.000 0.000


No. 2
The following is a DFT calculation (GGA-PBE) of a relaxed Mn2PdAuN crystal.

## Properties
- Formation energy from raw total energies: 1875 meV per atom
- Polymorph energy (0 for the lowest one): 2002 meV/atom
- Space-group type: No. 123
- DOS at the Fermi energy: 4.08 states/eV/cell
- Raw total energy: -5.15 eV per atom

Cell lengths 5.007, 5.024, 5.007 Å; angles 90.00, 90.00, 90.00 degrees
Positions (direct):
Mn 0.000 0.000 0.500
Mn 0.500 0.000 0.000
Au 0.000 0.000 0.000
Pd 0.000 0.500 0.000
N 0.500 0.500 0.500


No. 3
The following is a DFT calculation (GGA-PBE) of a relaxed Mn2PdAuN crystal.

## Properties
- Formation energy from raw total energies: -126 meV per atom
- Polymorph energy (0 for the lowest one): 0 meV/atom
- Space-group type: No. 123
- DOS at the Fermi energy: 2.26 states/eV/cell
- Raw total energy: -7.15 eV per atom

Cell lengths 4.003, 4.003, 4.233 Å; angles 90.00, 90.00, 90.00 degrees
Positions (direct):
Mn 0.000 0.500 0.000
Mn 0.500 0.000 0.000
Au 0.500 0.500 0.500
Pd 0.000 0.000 0.500
N 0.000 0.000 0.000